(1)
{"formula": "La2HfS5", "functional": "GGA-PBE", "state": "relaxed", "energy_ev_per_cell": -225.5, "space_group": "No. 62", "cell": [[11.486, 0.000, 0.000], [0.000, 8.201, 0.000], [0.000, 0.000, 7.401]], "species": ["La", "La", "La", "La", "La", "La", "La", "La", "S", "S", "S", "S", "S", "S", "S", "S", "S", "S", "S", "S", "S", "S", "S", "S", "S", "S", "S", "S", "Hf", "Hf", "Hf", "Hf"], "fractional_positions": [[0.829, 0.501, 0.442], [0.171, 0.499, 0.558], [0.671, 0.499, 0.942], [0.171, 0.001, 0.558], [0.329, 0.501, 0.058], [0.671, 0.001, 0.942], [0.829, 0.999, 0.442], [0.329, 0.999, 0.058], [0.293, 0.250, 0.341], [0.427, 0.466, 0.676], [0.793, 0.250, 0.159], [0.309, 0.750, 0.362], [0.691, 0.250, 0.638], [0.927, 0.034, 0.824], [0.927, 0.466, 0.824], [0.207, 0.750, 0.841], [0.573, 0.966, 0.324], [0.505, 0.250, 0.060], [0.427, 0.034, 0.676], [0.573, 0.534, 0.324], [0.809, 0.750, 0.138], [0.073, 0.966, 0.176], [0.005, 0.250, 0.440], [0.191, 0.250, 0.862], [0.073, 0.534, 0.176], [0.707, 0.750, 0.659], [0.495, 0.750, 0.940], [0.995, 0.750, 0.560], [0.991, 0.750, 0.929], [0.009, 0.250, 0.071], [0.509, 0.250, 0.429], [0.491, 0.750, 0.571]]}

=====

(2)
{"formula": "LaHfSb", "functional": "GGA-PBE", "state": "relaxed", "energy_ev_per_cell": -19.4, "space_group": "No. 216", "cell": [[-3.841, -3.234, -0.401], [-4.645, 1.430, 1.323], [-3.522, 0.698, -3.532]], "species": ["La", "Sb", "Hf"], "fractional_positions": [[0.000, 0.000, 0.000], [0.250, 0.250, 0.250], [0.500, 0.500, 0.500]]}